# 1
Compound: UCuOs2
Source: Alexandria
Functional: GGA-PBE
Structure: relaxed

## Properties
Formation energy = -0.056 eV/atom

Unit cell a=3.775 b=4.111 c=4.111 alpha=90.00 beta=90.00 gamma=90.00
Fractional positions:
Cu  0.500  0.500  0.500
Os  0.000  0.000  0.500
Os  0.000  0.500  0.000
U  0.500  0.000  0.000

***

# 2
Compound: U2CuOs
Source: Alexandria
Functional: GGA-PBE
Structure: relaxed

## Properties
Formation energy = 0.478 eV/atom

Unit cell a=2.881 b=2.881 c=10.626 alpha=82.21 beta=82.21 gamma=60.00
Each line ends with the local moment (μB).
Fractional positions:
U  0.909  0.909  0.272  1.06
U  0.091  0.091  0.728  1.06
Cu  0.000  0.000  0.000  0.05
Os  0.500  0.500  0.500  -0.06

***

# 3
Compound: UCu4Os
Source: Alexandria
Functional: GGA-PBE
Structure: relaxed

## Properties
Formation energy = 0.131 eV/atom

Unit cell a=4.936 b=4.936 c=4.936 alpha=60.00 beta=60.00 gamma=60.00
Each line ends with the local moment (μB).
Fractional positions:
Cu  0.624  0.127  0.624  0.00
Cu  0.624  0.624  0.624  0.00
Cu  0.127  0.624  0.624  0.00
Cu  0.624  0.624  0.127  0.00
U  0.000  0.000  0.000  0.71
Os  0.250  0.250  0.250  -0.10

***

# 4
Compound: V3CuOs
Source: Alexandria
Functional: GGA-PBE
Structure: relaxed

## Properties
Energy relative to the lowest polymorph listed for this composition = 0.76 eV per formula unit
Formation energy = 1.375 eV/atom

Unit cell a=4.296 b=4.296 c=4.296 alpha=90.00 beta=90.00 gamma=90.00
Each line ends with the local moment (μB).
Fractional positions:
Cu  0.000  0.000  0.000  0.09
V  0.000  0.000  0.500  0.53
V  0.000  0.500  0.000  0.53
V  0.500  0.000  0.000  0.53
Os  0.500  0.500  0.500  -0.15

***

# 5
Compound: V3CuOs
Source: Alexandria
Functional: GGA-PBE
Structure: relaxed

## Properties
Energy relative to the lowest polymorph listed for this composition = 0.00 eV per formula unit
Formation energy = 1.222 eV/atom

Unit cell a=4.566 b=4.566 c=4.566 alpha=90.00 beta=90.00 gamma=90.00
Fractional positions:
V  0.500  0.000  0.000
V  0.000  0.000  0.500
V  0.000  0.500  0.000
Cu  0.500  0.500  0.500
Os  0.000  0.000  0.000

***

# 6
Compound: VCu2Os
Source: Alexandria
Functional: GGA-PBE
Structure: relaxed

## Properties
Energy relative to the lowest polymorph listed for this composition = 0.52 eV per formula unit
Formation energy = 0.477 eV/atom

Unit cell a=3.482 b=3.482 c=9.587 alpha=79.54 beta=79.54 gamma=90.00
Fractional positions:
Os  0.750  0.250  0.500
Os  0.000  0.000  0.000
Cu  0.375  0.370  0.750
Cu  0.875  0.880  0.750
Cu  0.630  0.125  0.250
Cu  0.120  0.625  0.250
V  0.500  0.500  0.000
V  0.250  0.750  0.500

***

# 7
Compound: VCu2Os
Source: Alexandria
Functional: GGA-PBE
Structure: relaxed

## Properties
Energy relative to the lowest polymorph listed for this composition = 0.00 eV per formula unit
Formation energy = 0.348 eV/atom

Unit cell a=4.194 b=4.194 c=4.194 alpha=60.00 beta=60.00 gamma=60.00
Each line ends with the local moment (μB).
Fractional positions:
Cu  0.250  0.250  0.250  -0.01
Cu  0.750  0.750  0.750  -0.01
V  0.000  0.000  0.000  1.16
Os  0.500  0.500  0.500  -0.20

***

# 8
Compound: CuOs2W
Source: Alexandria
Functional: GGA-PBE
Structure: relaxed

## Properties
Energy relative to the lowest polymorph listed for this composition = 0.05 eV per formula unit
Formation energy = 0.222 eV/atom

Unit cell a=3.913 b=2.730 c=6.000 alpha=63.07 beta=90.00 gamma=90.00
Fractional positions:
W  0.000  0.501  0.508
Cu  0.500  0.745  0.755
Os  0.500  0.251  0.246
Os  0.000  0.004  0.991

***

# 9
Compound: CuOs2W
Source: Alexandria
Functional: GGA-PBE
Structure: relaxed

## Properties
Energy relative to the lowest polymorph listed for this composition = 0.31 eV per formula unit
Formation energy = 0.289 eV/atom

Unit cell a=4.815 b=4.815 c=4.815 alpha=133.78 beta=133.78 gamma=67.44
Fractional positions:
Cu  0.750  0.250  0.500
Os  0.000  0.000  0.000
Os  0.250  0.750  0.500
W  0.500  0.500  0.000

***

# 10
Compound: CuOs2W2
Source: Alexandria
Functional: GGA-PBE
Structure: relaxed

## Properties
Formation energy = 0.336 eV/atom

Unit cell a=7.536 b=7.536 c=2.851 alpha=90.00 beta=90.00 gamma=90.00
Fractional positions:
W  0.341  0.159  0.500
W  0.659  0.841  0.500
W  0.841  0.341  0.500
W  0.159  0.659  0.500
Os  0.637  0.137  0.000
Os  0.363  0.863  0.000
Os  0.863  0.637  0.000
Os  0.137  0.363  0.000
Cu  0.000  0.000  0.000
Cu  0.500  0.500  0.000

***

# 11
Compound: CuOs2W
Source: Alexandria
Functional: GGA-PBE
Structure: relaxed

## Properties
Energy relative to the lowest polymorph listed for this composition = 0.04 eV per formula unit
Formation energy = 0.221 eV/atom

Unit cell a=4.628 b=4.628 c=4.812 alpha=81.08 beta=81.08 gamma=34.48
Fractional positions:
W  0.750  0.750  0.750
Cu  0.250  0.250  0.250
Os  0.002  0.002  0.013
Os  0.498  0.498  0.487

***

# 12
Compound: CuOs2W
Source: Alexandria
Functional: GGA-PBE
Structure: relaxed

## Properties
Energy relative to the lowest polymorph listed for this composition = 0.03 eV per formula unit
Formation energy = 0.218 eV/atom

Unit cell a=2.781 b=3.770 c=5.471 alpha=90.00 beta=90.00 gamma=90.00
Fractional positions:
Os  0.000  0.000  0.514
Os  0.000  0.000  0.986
W  0.500  0.500  0.250
Cu  0.500  0.500  0.750

***

# 13
Compound: CuOs2W
Source: Alexandria
Functional: GGA-PBE
Structure: relaxed

## Properties
Energy relative to the lowest polymorph listed for this composition = 0.85 eV per formula unit
Formation energy = 0.422 eV/atom

Unit cell a=2.690 b=2.690 c=8.975 alpha=90.00 beta=90.00 gamma=114.95
Fractional positions:
Os  0.000  0.000  0.502
Os  0.000  0.000  0.998
Cu  0.500  0.500  0.750
W  0.500  0.500  0.250

***

# 14
Compound: CuOs2W
Source: Alexandria
Functional: GGA-PBE
Structure: relaxed

## Properties
Energy relative to the lowest polymorph listed for this composition = 0.04 eV per formula unit
Formation energy = 0.220 eV/atom

Unit cell a=4.337 b=4.337 c=4.337 alpha=60.00 beta=60.00 gamma=60.00
Fractional positions:
Cu  0.000  0.000  0.000
Os  0.250  0.250  0.250
Os  0.750  0.750  0.750
W  0.500  0.500  0.500